Model 1:
Entry from Alexandria via LeMat-Bulk: TlTe2Pt at its PBEsol-relaxed geometry (SCAN).

Unit cell a=3.447 b=3.447 c=8.314 alpha=90.00 beta=90.00 gamma=90.00
Positions (direct):
Tl 0.000 0.000 0.000
Te 0.500 0.500 0.309
Te 0.500 0.500 0.691
Pt 0.000 0.000 0.500

Results
Symmetry: P4/mmm
Total magnetization in μB per formula unit: 0.0


Model 2:
Entry from Alexandria via LeMat-Bulk: TlTe2Pt at its PBEsol-relaxed geometry (SCAN).

Unit cell a=7.755 b=7.755 c=7.755 alpha=131.16 beta=131.16 gamma=71.57
Positions (direct):
Tl 0.000 0.000 0.000
Tl 0.750 0.250 0.500
Te 0.179 0.625 0.054
Te 0.375 0.429 0.554
Te 0.571 0.125 0.946
Te 0.875 0.821 0.446
Pt 0.250 0.750 0.500
Pt 0.500 0.500 0.000

Results
Symmetry: I-42d
Total magnetization in μB per formula unit: 0.0


Of them, model 1 has the lowest stability.


Model 1:
Entry from Alexandria via LeMat-Bulk: TlTe2Pt at its PBEsol-relaxed geometry (SCAN).

Unit cell a=5.995 b=5.995 c=5.704 alpha=115.42 beta=115.42 gamma=36.81
Positions (direct):
Tl 0.000 0.000 0.000
Te 0.178 0.178 0.657
Te 0.822 0.822 0.343
Pt 0.500 0.500 0.500

Results
Symmetry: C2/m
Total magnetization in μB per formula unit: 0.0


Model 2:
Entry from Alexandria via LeMat-Bulk: TlTe2Pt at its PBEsol-relaxed geometry (SCAN).

Unit cell a=7.890 b=7.890 c=7.890 alpha=29.57 beta=29.57 gamma=29.57
Positions (direct):
Tl 0.000 0.000 0.000
Te 0.228 0.228 0.228
Te 0.772 0.772 0.772
Pt 0.500 0.500 0.500

Results
Symmetry: R-3m
Total magnetization in μB per formula unit: 0.0


Of them, model 1 has the lowest stability.


Model 1:
Entry from Alexandria via LeMat-Bulk: Tl5Pt at its PBEsol-relaxed geometry (SCAN).

Unit cell a=3.346 b=3.346 c=13.502 alpha=90.00 beta=90.00 gamma=90.00
Positions (direct):
Tl 0.000 0.000 0.000
Tl 0.000 0.000 0.374
Tl 0.000 0.000 0.626
Tl 0.500 0.500 0.187
Tl 0.500 0.500 0.813
Pt 0.500 0.500 0.500

Results
Symmetry: P4/mmm
Total magnetization in μB per formula unit: 0.0


Model 2:
Entry from Alexandria via LeMat-Bulk: Tl5Pt at its PBEsol-relaxed geometry (SCAN).

Unit cell a=6.147 b=6.147 c=8.536 alpha=113.47 beta=113.47 gamma=31.62
Positions (direct):
Tl 0.000 0.000 0.000
Tl 0.326 0.326 0.209
Tl 0.368 0.368 0.637
Tl 0.632 0.632 0.363
Tl 0.674 0.674 0.791
Pt 0.000 0.000 0.500

Results
Symmetry: C2/m
Total magnetization in μB per formula unit: 0.0


Of them, model 1 has the lowest stability.